Entry from the Alexandria database: a PBEsol-optimized structure of YTc2Cl (meta-GGA SCAN).

Values from the calculation:
- VASP energy: -106.0 eV per formula unit
- Distance to the lowest polymorph of the same formula: 0.404 eV per atom
- SG: P4/mmm (123)

```
data_YTc2Cl
_chemical_formula_sum 'Y1 Tc2 Cl1'
_cell_length_a 3.5689
_cell_length_b 3.5689
_cell_length_c 5.6496
_cell_angle_alpha 90.00
_cell_angle_beta 90.00
_cell_angle_gamma 90.00
_space_group_name_H-M_alt 'P 1'
_space_group_IT_number 1
_space_group_name_Hall 'P 1'
loop_
_atom_site_label
_atom_site_type_symbol
_atom_site_fract_x
_atom_site_fract_y
_atom_site_fract_z
Tc1 Tc 0.5000 0.0000 0.0000
Tc2 Tc 0.0000 0.5000 0.0000
Cl1 Cl 0.0000 0.0000 0.5000
Y1 Y 0.5000 0.5000 0.5000
```


Entry from the Alexandria database: a PBEsol-optimized structure of Y2TcCl (meta-GGA SCAN).

Values from the calculation:
- VASP energy: -100.7 eV per formula unit
- Distance to the lowest polymorph of the same formula: 0.370 eV per atom
- SG: C2/m (12)

```
data_Y2TcCl
_chemical_formula_sum 'Y2 Tc1 Cl1'
_cell_length_a 3.2197
_cell_length_b 5.2254
_cell_length_c 5.2254
_cell_angle_alpha 88.54
_cell_angle_beta 78.18
_cell_angle_gamma 78.18
_space_group_name_H-M_alt 'P 1'
_space_group_IT_number 1
_space_group_name_Hall 'P 1'
loop_
_atom_site_label
_atom_site_type_symbol
_atom_site_fract_x
_atom_site_fract_y
_atom_site_fract_z
Y1 Y 0.0000 0.0000 0.5000
Y2 Y 0.0000 0.5000 0.0000
Cl1 Cl 0.5000 0.0000 0.0000
Tc1 Tc 0.5000 0.5000 0.5000
```


Entry from the Alexandria database: a PBEsol-optimized structure of YTc2Cl (meta-GGA SCAN).

Values from the calculation:
- VASP energy: -105.9 eV per formula unit
- Distance to the lowest polymorph of the same formula: 0.428 eV per atom
- SG: P2/m (10)

```
data_YTc2Cl
_chemical_formula_sum 'Y1 Tc2 Cl1'
_cell_length_a 3.0993
_cell_length_b 4.2695
_cell_length_c 5.3136
_cell_angle_alpha 90.00
_cell_angle_beta 90.00
_cell_angle_gamma 91.08
_space_group_name_H-M_alt 'P 1'
_space_group_IT_number 1
_space_group_name_Hall 'P 1'
loop_
_atom_site_label
_atom_site_type_symbol
_atom_site_fract_x
_atom_site_fract_y
_atom_site_fract_z
Tc1 Tc 0.3174 0.2471 0.0000
Tc2 Tc 0.6826 0.7529 0.0000
Y1 Y 0.0000 0.0000 0.5000
Cl1 Cl 0.5000 0.5000 0.5000
```


Entry from the Alexandria database: a PBEsol-optimized structure of YTc2Cl (meta-GGA SCAN).

Values from the calculation:
- VASP energy: -104.2 eV per formula unit
- Distance to the lowest polymorph of the same formula: 0.844 eV per atom
- SG: I-4m2 (119)

```
data_YTc2Cl
_chemical_formula_sum 'Y1 Tc2 Cl1'
_cell_length_a 4.4339
_cell_length_b 4.4339
_cell_length_c 4.4339
_cell_angle_alpha 103.77
_cell_angle_beta 112.39
_cell_angle_gamma 112.39
_space_group_name_H-M_alt 'P 1'
_space_group_IT_number 1
_space_group_name_Hall 'P 1'
loop_
_atom_site_label
_atom_site_type_symbol
_atom_site_fract_x
_atom_site_fract_y
_atom_site_fract_z
Cl1 Cl 0.5000 0.7500 0.2500
Tc1 Tc 0.0000 0.0000 0.0000
Tc2 Tc 0.5000 0.2500 0.7500
Y1 Y 0.0000 0.5000 0.5000
```


Entry from the Alexandria database: a PBEsol-optimized structure of YTc2Cl (meta-GGA SCAN).

Values from the calculation:
- VASP energy: -107.6 eV per formula unit
- Distance to the lowest polymorph of the same formula: 0.000 eV per atom
- SG: Amm2 (38)

```
data_YTc2Cl
_chemical_formula_sum 'Y1 Tc2 Cl1'
_cell_length_a 3.0653
_cell_length_b 3.0842
_cell_length_c 7.6475
_cell_angle_alpha 101.63
_cell_angle_beta 90.00
_cell_angle_gamma 90.00
_space_group_name_H-M_alt 'P 1'
_space_group_IT_number 1
_space_group_name_Hall 'P 1'
loop_
_atom_site_label
_atom_site_type_symbol
_atom_site_fract_x
_atom_site_fract_y
_atom_site_fract_z
Cl1 Cl 0.5000 0.9376 0.8751
Tc1 Tc 0.0000 0.7884 0.5768
Tc2 Tc 0.5000 0.2014 0.4028
Y1 Y 0.0000 0.5625 0.1250
```


Entry from the Alexandria database: a PBEsol-optimized structure of Y2TcCl (meta-GGA SCAN).

Values from the calculation:
- VASP energy: -101.1 eV per formula unit
- Distance to the lowest polymorph of the same formula: 0.282 eV per atom
- SG: Pmmm (47)

```
data_Y2TcCl
_chemical_formula_sum 'Y2 Tc1 Cl1'
_cell_length_a 3.4168
_cell_length_b 4.5286
_cell_length_c 5.5058
_cell_angle_alpha 90.00
_cell_angle_beta 90.00
_cell_angle_gamma 90.00
_space_group_name_H-M_alt 'P 1'
_space_group_IT_number 1
_space_group_name_Hall 'P 1'
loop_
_atom_site_label
_atom_site_type_symbol
_atom_site_fract_x
_atom_site_fract_y
_atom_site_fract_z
Y1 Y 0.5000 0.5000 0.0000
Y2 Y 0.0000 0.0000 0.5000
Cl1 Cl 0.0000 0.0000 0.0000
Tc1 Tc 0.5000 0.5000 0.5000
```


Entry from the Alexandria database: a PBEsol-optimized structure of YTc2Cl (meta-GGA SCAN).

Values from the calculation:
- VASP energy: -106.0 eV per formula unit
- Distance to the lowest polymorph of the same formula: 0.393 eV per atom
- SG: I4/mmm (139)

```
data_YTc2Cl
_chemical_formula_sum 'Y1 Tc2 Cl1'
_cell_length_a 3.5756
_cell_length_b 3.5756
_cell_length_c 6.1551
_cell_angle_alpha 106.89
_cell_angle_beta 106.89
_cell_angle_gamma 90.00
_space_group_name_H-M_alt 'P 1'
_space_group_IT_number 1
_space_group_name_Hall 'P 1'
loop_
_atom_site_label
_atom_site_type_symbol
_atom_site_fract_x
_atom_site_fract_y
_atom_site_fract_z
Cl1 Cl 0.0000 0.0000 0.0000
Tc1 Tc 0.2500 0.7500 0.5000
Tc2 Tc 0.7500 0.2500 0.5000
Y1 Y 0.5000 0.5000 0.0000
```


Entry from the Alexandria database: a PBEsol-optimized structure of ZnTcCl (meta-GGA SCAN).

Values from the calculation:
- VASP energy: -56.0 eV per formula unit
- Distance to the lowest polymorph of the same formula: 0.000 eV per atom
- SG: P3m1 (156)

```
data_ZnTcCl
_chemical_formula_sum 'Zn1 Tc1 Cl1'
_cell_length_a 2.9371
_cell_length_b 2.9371
_cell_length_c 6.1077
_cell_angle_alpha 90.00
_cell_angle_beta 90.00
_cell_angle_gamma 120.00
_space_group_name_H-M_alt 'P 1'
_space_group_IT_number 1
_space_group_name_Hall 'P 1'
loop_
_atom_site_label
_atom_site_type_symbol
_atom_site_fract_x
_atom_site_fract_y
_atom_site_fract_z
Cl1 Cl 0.0000 0.0000 0.9644
Zn1 Zn 0.3333 0.6667 0.3551
Tc1 Tc 0.6667 0.3333 0.6805
```


Entry from the Alexandria database: a PBEsol-optimized structure of ZnTc3Cl (meta-GGA SCAN).

Values from the calculation:
- VASP energy: -116.7 eV per formula unit
- SG: Pm-3m (221)

```
data_ZnTc3Cl
_chemical_formula_sum 'Zn1 Tc3 Cl1'
_cell_length_a 4.5699
_cell_length_b 4.5699
_cell_length_c 4.5699
_cell_angle_alpha 90.00
_cell_angle_beta 90.00
_cell_angle_gamma 90.00
_space_group_name_H-M_alt 'P 1'
_space_group_IT_number 1
_space_group_name_Hall 'P 1'
loop_
_atom_site_label
_atom_site_type_symbol
_atom_site_fract_x
_atom_site_fract_y
_atom_site_fract_z
Zn1 Zn 0.0000 0.0000 0.0000
Cl1 Cl 0.5000 0.5000 0.5000
Tc1 Tc 0.5000 0.0000 0.0000
Tc2 Tc 0.0000 0.0000 0.5000
Tc3 Tc 0.0000 0.5000 0.0000
```


Entry from the Alexandria database: a PBEsol-optimized structure of ZnTcCl4 (meta-GGA SCAN).

Values from the calculation:
- VASP energy: -75.2 eV per formula unit
- SG: F-43m (216)

```
data_ZnTcCl4
_chemical_formula_sum 'Zn1 Tc1 Cl4'
_cell_length_a 5.6943
_cell_length_b 5.6943
_cell_length_c 5.6943
_cell_angle_alpha 60.00
_cell_angle_beta 60.00
_cell_angle_gamma 60.00
_space_group_name_H-M_alt 'P 1'
_space_group_IT_number 1
_space_group_name_Hall 'P 1'
loop_
_atom_site_label
_atom_site_type_symbol
_atom_site_fract_x
_atom_site_fract_y
_atom_site_fract_z
Tc1 Tc 0.7500 0.7500 0.7500
Cl1 Cl 0.3752 0.3752 0.8744
Cl2 Cl 0.8744 0.3752 0.3752
Cl3 Cl 0.3752 0.8744 0.3752
Cl4 Cl 0.3752 0.3752 0.3752
Zn1 Zn 0.0000 0.0000 0.0000
```


Entry from the Alexandria database: a PBEsol-optimized structure of ZnTcCl (meta-GGA SCAN).

Values from the calculation:
- VASP energy: -55.6 eV per formula unit
- Distance to the lowest polymorph of the same formula: 0.129 eV per atom
- SG: I4mm (107)

```
data_ZnTcCl
_chemical_formula_sum 'Zn1 Tc1 Cl1'
_cell_length_a 2.9032
_cell_length_b 2.9032
_cell_length_c 6.1480
_cell_angle_alpha 103.66
_cell_angle_beta 103.66
_cell_angle_gamma 90.00
_space_group_name_H-M_alt 'P 1'
_space_group_IT_number 1
_space_group_name_Hall 'P 1'
loop_
_atom_site_label
_atom_site_type_symbol
_atom_site_fract_x
_atom_site_fract_y
_atom_site_fract_z
Zn1 Zn 0.3017 0.3017 0.6034
Cl1 Cl 0.0364 0.0364 0.0727
Tc1 Tc 0.6620 0.6620 0.3239
```


Entry from the Alexandria database: a PBEsol-optimized structure of Zr2TcCl (meta-GGA SCAN).

Values from the calculation:
- VASP energy: -105.1 eV per formula unit
- Distance to the lowest polymorph of the same formula: 0.598 eV per atom
- SG: Cmm2 (35)

```
data_Zr2TcCl
_chemical_formula_sum 'Zr2 Tc1 Cl1'
_cell_length_a 3.0552
_cell_length_b 3.0552
_cell_length_c 9.1104
_cell_angle_alpha 90.00
_cell_angle_beta 90.00
_cell_angle_gamma 115.13
_space_group_name_H-M_alt 'P 1'
_space_group_IT_number 1
_space_group_name_Hall 'P 1'
loop_
_atom_site_label
_atom_site_type_symbol
_atom_site_fract_x
_atom_site_fract_y
_atom_site_fract_z
Cl1 Cl 0.0000 0.0000 0.5176
Zr1 Zr 0.5000 0.5000 0.7364
Zr2 Zr 0.0000 0.0000 0.0186
Tc1 Tc 0.5000 0.5000 0.2275
```


| no. | ΔE_f (raw) (meV per atom) | density (Mg/m³) |
| --- | --- | --- |
| 1 | -5 | 7.4 |
| 2 | -505 | 6.1 |
| 3 | 20 | 7.6 |
| 4 | 436 | 8.0 |
| 5 | -408 | 7.5 |
| 6 | -594 | 6.1 |
| 7 | -16 | 7.4 |
| 8 | 184 | 7.2 |
| 9 | 1985 | 6.9 |
| 10 | 877 | 3.9 |
| 11 | 313 | 6.8 |
| 12 | -172 | 6.8 |